MgTl2Bi2 (PBE, relaxed); energy relative to the lowest polymorph listed for this composition = 14.64 kJ per mole of atoms; formation energy = 0.12 eV per atom; DOS at the Fermi energy = 2.5 states/eV per cell; crystal system = tetragonal; VASP energy = -2.7000 eV/atom
1.0
-1.5714 -3.8376 -1.2226
2.8810 -1.9881 2.5374
-5.0051 -2.6967 7.2533
Bi Mg Tl
2 1 2
Cartesian
-0.3252 -2.8754 1.7994
-3.3703 -5.6470 6.7686
0.0000 0.0000 0.0000
-2.9608 -4.7236 3.3440
-0.7346 -3.7988 5.2240